{
  "formula": "V3Cu2P6WO24",
  "functional": "PBE with a Hubbard U",
  "state": "optimized geometry",
  "m_tot_mub_per_cell": 5.30,
  "mass_density_g_cm3": 3.7,
  "total_energy_ha_per_atom": -0.2659,
  "lattice_angstrom": [[4.332, 2.501, 7.081], [-4.332, 2.501, 7.081], [0.000, -5.002, 7.081]],
  "species": ["V", "V", "V", "Cu", "Cu", "P", "P", "P", "P", "P", "P", "W", "O", "O", "O", "O", "O", "O", "O", "O", "O", "O", "O", "O", "O", "O", "O", "O", "O", "O", "O", "O", "O", "O", "O", "O"],
  "frac_coords": [[0.000, 0.000, 0.000], [0.215, 0.215, 0.215], [0.499, 0.499, 0.499], [0.357, 0.357, 0.357], [0.862, 0.862, 0.862], [0.113, 0.392, 0.816], [0.312, 0.900, 0.606], [0.392, 0.816, 0.113], [0.606, 0.312, 0.900], [0.816, 0.113, 0.392], [0.900, 0.606, 0.312], [0.715, 0.715, 0.715], [0.052, 0.236, 0.853], [0.091, 0.441, 0.301], [0.124, 0.918, 0.773], [0.162, 0.363, 0.977], [0.236, 0.853, 0.052], [0.275, 0.415, 0.624], [0.301, 0.091, 0.441], [0.354, 0.738, 0.552], [0.363, 0.977, 0.162], [0.415, 0.624, 0.275], [0.441, 0.301, 0.091], [0.474, 0.863, 0.666], [0.552, 0.354, 0.738], [0.588, 0.794, 0.945], [0.624, 0.275, 0.415], [0.666, 0.474, 0.863], [0.738, 0.552, 0.354], [0.773, 0.124, 0.918], [0.794, 0.945, 0.588], [0.853, 0.052, 0.236], [0.863, 0.666, 0.474], [0.918, 0.773, 0.124], [0.945, 0.588, 0.794], [0.977, 0.162, 0.363]]
}